LaCoCuSi2 (PBE, relaxed); total energy = -29.54 eV per cell
1.0
-2.053 2.053 4.905
2.053 -2.053 4.905
2.053 2.053 -4.905
Co Cu Si La
1 1 2 1
direct
0.000 0.000 0.000
0.500 0.500 0.000
0.879 0.379 0.500
0.621 0.121 0.500
0.250 0.750 0.500

LiMg2CoCu4 (PBE, relaxed); total energy = -26.70 eV per cell
1.0
4.167 0.000 0.000
0.000 4.167 0.000
0.000 0.000 6.055
Co Mg Cu Li
1 2 4 1
direct
0.500 0.500 0.000
0.000 0.000 0.000
0.500 0.500 0.500
0.500 0.000 0.240
0.000 0.500 0.240
0.500 0.000 0.760
0.000 0.500 0.760
0.000 0.000 0.500

LiCoCuP2 (PBE, relaxed); total energy = -25.60 eV per cell
1.0
1.219 0.499 5.160
2.746 4.251 1.657
-4.275 -1.056 -2.995
Li P Cu Co
1 2 1 1
direct
0.000 0.000 0.000
0.617 0.617 0.000
0.383 0.383 0.000
0.750 0.250 0.500
0.250 0.750 0.500

LiCoCuS3 (PBE, relaxed); total energy = -54.78 eV per cell
1.0
1.678 -5.855 0.000
1.678 5.855 0.000
0.000 0.000 9.025
Co Cu Li S
2 2 2 6
direct
0.000 0.000 0.500
0.000 0.000 0.000
0.555 0.445 0.750
0.445 0.555 0.250
0.752 0.248 0.250
0.248 0.752 0.750
0.633 0.367 0.971
0.633 0.367 0.529
0.367 0.633 0.029
0.076 0.924 0.250
0.924 0.076 0.750
0.367 0.633 0.471

LiCoCuSeS2 (PBE, relaxed); total energy = -53.47 eV per cell
1.0
-1.399 3.581 -5.033
0.583 -5.742 2.607
-8.862 0.324 2.695
S Li Co Cu Se
4 2 2 2 2
direct
0.373 0.627 0.030
0.627 0.373 0.970
0.373 0.627 0.470
0.627 0.373 0.530
0.762 0.238 0.250
0.238 0.762 0.750
0.000 0.000 0.000
0.000 0.000 0.500
0.561 0.439 0.750
0.439 0.561 0.250
0.917 0.083 0.750
0.083 0.917 0.250

LiCoCuTeS2 (PBE, relaxed); total energy = -52.36 eV per cell
1.0
1.690 -6.417 0.000
1.690 6.417 0.000
0.000 0.000 9.481
S Cu Li Te Co
4 2 2 2 2
direct
0.381 0.619 0.041
0.381 0.619 0.459
0.619 0.381 0.541
0.619 0.381 0.959
0.454 0.546 0.250
0.546 0.454 0.750
0.203 0.797 0.750
0.797 0.203 0.250
0.106 0.894 0.250
0.894 0.106 0.750
0.000 0.000 0.500
0.000 0.000 0.000

LiCoCuTe2Se (PBE, relaxed); total energy = -47.70 eV per cell
1.0
-0.974 6.274 1.931
-1.415 -6.411 0.965
7.632 -0.742 6.263
Cu Te Li Se Co
2 4 2 2 2
direct
0.446 0.554 0.250
0.554 0.446 0.750
0.361 0.639 0.020
0.639 0.361 0.520
0.361 0.639 0.480
0.639 0.361 0.980
0.760 0.240 0.250
0.240 0.760 0.750
0.065 0.935 0.250
0.935 0.065 0.750
0.000 0.000 0.000
0.000 0.000 0.500

LiCoCuSi (PBE, relaxed); total energy = -19.19 eV per cell; relative energy among the computed polymorphs = 0 meV/atom
1.0
0.000 2.786 2.786
2.786 0.000 2.786
2.786 2.786 0.000
Li Cu Si Co
1 1 1 1
direct
0.750 0.750 0.750
0.000 0.000 0.000
0.250 0.250 0.250
0.500 0.500 0.500

LiCoCuSn (PBE, relaxed); total energy = -17.10 eV per cell; relative energy among the computed polymorphs = 0 meV/atom
1.0
2.937 -0.487 3.024
-0.101 -3.408 2.526
2.961 -3.015 -0.384
Cu Co Li Sn
1 1 1 1
direct
0.750 0.750 0.750
0.500 0.500 0.500
0.000 0.000 0.000
0.250 0.250 0.250

LiCoCuTc (PBE, relaxed); total energy = -22.34 eV per cell; relative energy among the computed polymorphs = 0 meV/atom
1.0
-1.307 0.623 3.760
0.833 3.469 1.874
-2.937 2.670 0.696
Cu Co Li Tc
1 1 1 1
direct
0.000 0.000 0.000
0.250 0.250 0.250
0.750 0.750 0.750
0.500 0.500 0.500

LiCoCuTc (PBE, relaxed); total energy = -20.99 eV per cell; relative energy among the computed polymorphs = 339 meV/atom
1.0
-3.841 -1.094 -0.863
-2.703 2.816 -1.209
-1.315 0.041 -3.868
Li Cu Co Tc
1 1 1 1
direct
0.750 0.750 0.750
0.250 0.250 0.250
0.000 0.000 0.000
0.500 0.500 0.500

LiTlCoCu (PBE, relaxed); total energy = -14.37 eV per cell; relative energy among the computed polymorphs = 0 meV/atom
1.0
0.000 3.053 3.053
3.053 0.000 3.053
3.053 3.053 0.000
Cu Co Li Tl
1 1 1 1
direct
0.500 0.500 0.500
0.750 0.750 0.750
0.250 0.250 0.250
0.000 0.000 0.000